# 1
Computed, not measured: a relaxed NbInAg2Os crystal at the GGA-PBE level of DFT.

It has space group P4/mmm (No. 123), with a = 4.966 Å, b = 4.966 Å, c = 4.949 Å, α = 90.00°, β = 90.00° and γ = 90.00°. The inequivalent atoms are Nb at (0.000, 0.000, 0.000), In at (0.500, 0.500, 0.000), Ag at (0.000, 0.500, 0.500) and Os at (0.500, 0.500, 0.500).

For the density of states at the Fermi level, the calculation gives 6.10 states/eV/cell. The value obtained for the formation energy is 1.6110 eV/atom.


# 2
Computed, not measured: a relaxed KBa2Zn2 crystal at the GGA-PBE level of DFT.

It has space group I4/mmm (No. 139), with a = 6.349 Å, b = 6.349 Å, c = 10.299 Å, α = 90.00°, β = 90.00° and γ = 90.00°. The inequivalent atoms are K at (0.000, 0.000, 0.000), Ba at (0.000, 0.500, 0.250) and Zn at (0.000, 0.000, 0.381).

For the density of states at the Fermi level, the calculation gives 16.46 states/eV/cell. The value obtained for the formation energy is 0.0177 eV/atom.


# 3
Computed, not measured: a relaxed Zn2GaPN4 crystal at the GGA-PBE level of DFT.

It has space group I-4 (No. 82), with a = 4.518 Å, b = 4.518 Å, c = 8.560 Å, α = 90.00°, β = 90.00° and γ = 90.00°. The inequivalent atoms are Zn at (0.000, 0.000, 0.000), Zn at (0.000, 0.500, 0.250), Ga at (0.000, 0.500, 0.750), P at (0.000, 0.000, 0.500) and N at (0.203, 0.221, 0.613).

The value obtained for the energy relative to the elements, uncorrected is -0.42 eV per atom. For the density of states at the Fermi level, the calculation gives 0.00 states/eV/cell.